A relaxed Li2TiFeO4 crystal. Source: Alexandria, functional GGA+U.

- Distance to the lowest polymorph of the same formula: 0.010 eV/atom
- Crystal system: orthorhombic

The structure in extended XYZ format:
```
16
Lattice="5.9564 0.0000 0.0000 -2.9782 5.2303 -0.0378 0.0000 -3.4900 4.9702" Properties=species:S:1:pos:R:3 pbc="T T T"
Li 1.4928 -0.0237 3.6938
Li 0.0000 2.5931 3.6805
Li 4.4637 -0.0237 3.6938
Li 0.0000 4.3423 1.1894
Fe 2.9782 2.5960 3.6783
Fe 2.9782 4.3412 1.1929
O -1.5261 3.3385 2.3443
O 1.4522 0.1133 0.0796
O 2.9782 0.9053 2.3016
O 1.5261 3.3385 2.3443
O 0.0000 0.9794 2.3530
O 0.0000 2.5458 0.1223
O 4.5042 0.1133 0.0796
O 2.9782 2.4722 0.0701
Ti 1.4888 1.7260 1.2120
Ti 4.4676 1.7260 1.2120
```